1.
VNi2P3 GGA-PBE relaxed; energy of formation = -0.559 eV/atom
1.0
3.239 0.000 0.000
0.000 8.747 0.000
0.000 0.000 5.239
V Ni P
2 4 6
direct
0.000 0.108 0.000
0.000 0.892 0.500
0.000 0.224 0.498
0.000 0.776 0.998
0.500 0.473 0.516
0.500 0.527 0.016
0.000 0.379 0.834
0.000 0.621 0.334
0.500 0.072 0.665
0.500 0.284 0.199
0.500 0.716 0.699
0.500 0.928 0.165


2.
Rb2CuAsF6 GGA-PBE relaxed; formation energy without anion corrections = -2.15 eV per atom
1.0
-3.023 3.023 4.482
3.023 -3.023 4.482
3.023 3.023 -4.482
Rb Cu As F
2 1 1 6
direct
0.250 0.750 0.500
0.750 0.250 0.500
0.000 0.000 0.000
0.500 0.500 0.000
0.254 0.254 0.507
0.254 0.746 0.000
0.269 0.269 0.000
0.731 0.731 0.000
0.746 0.254 0.000
0.746 0.746 0.493


3.
LuPu2Ta GGA-PBE relaxed; energy of formation = 0.369 eV/atom
1.0
3.728 0.000 0.000
0.000 3.728 0.000
0.000 0.000 6.881
Lu Pu Ta
1 2 1
direct
0.000 0.000 0.000
0.500 0.500 0.280
0.500 0.500 0.720
0.000 0.000 0.500


4.
As2PbBrF GGA-PBE relaxed; offset from the most stable computed form = 0 meV per atom; formation energy without anion corrections = -0.10 eV per atom
1.0
4.435 0.000 0.000
0.000 4.435 0.000
0.000 0.000 6.063
As Pb Br F
2 1 1 1
direct
0.000 0.500 0.000
0.500 0.000 0.000
0.000 0.000 0.500
0.500 0.500 0.500
0.500 0.500 0.000


5.
PaTaC GGA-PBE relaxed; offset from the most stable computed form = 367 meV per atom; energy of formation = 0.112 eV/atom
1.0
-1.512 1.512 5.207
1.512 -1.512 5.207
1.512 1.512 -5.207
Pa Ta C
1 1 1
direct
0.000 0.000 0.000
0.724 0.724 0.000
0.293 0.293 0.000


6.
Fe2NiAs GGA-PBE relaxed; energy of formation = 0.011 eV/atom
1.0
0.000 2.904 2.904
2.904 0.000 2.904
2.904 2.904 0.000
Fe Ni As
2 1 1
direct
0.000 0.000 0.000
0.250 0.250 0.250
0.750 0.750 0.750
0.500 0.500 0.500


7.
DFT (GGA-PBE) results for a geometry-optimized ThZnCoH6 structure.

Structure (POSCAR):
```
ThZnCoH6
1.0
4.413 0.000 0.000
-2.207 3.822 0.000
0.000 0.000 4.394
Th Zn Co H
1 1 1 6
direct
0.000 0.000 0.000
0.333 0.667 0.500
0.667 0.333 0.500
0.515 0.029 0.228
0.515 0.029 0.772
0.515 0.485 0.228
0.515 0.485 0.772
0.971 0.485 0.228
0.971 0.485 0.772
```


8.
La2Pm7Er3 GGA-PBE relaxed; offset from the most stable computed form = 51 meV per atom; energy of formation = 0.119 eV/atom
1.0
2.916 -19.262 0.000
2.916 19.262 0.000
0.000 0.000 3.662
La Pm Er
2 7 3
direct
0.149 0.851 0.000
0.851 0.149 0.000
0.000 0.000 0.000
0.071 0.929 0.500
0.231 0.769 0.000
0.411 0.589 0.000
0.589 0.411 0.000
0.769 0.231 0.000
0.929 0.071 0.500
0.314 0.686 0.500
0.500 0.500 0.500
0.686 0.314 0.500


9.
Zr2BeAu GGA-PBE relaxed; energy of formation = -0.190 eV/atom
1.0
4.274 0.000 0.000
0.000 4.274 0.000
0.000 0.000 3.998
Zr Be Au
2 1 1
direct
0.000 0.500 0.000
0.500 0.000 0.000
0.000 0.000 0.500
0.500 0.500 0.500


10.
RbPaMoN4 GGA-PBE relaxed; formation energy without anion corrections = -0.77 eV per atom
1.0
6.113 0.000 0.000
0.000 6.005 0.000
-2.536 0.000 7.666
Rb Pa Mo N
2 2 2 8
direct
0.188 0.250 0.429
0.812 0.750 0.571
0.295 0.250 0.952
0.705 0.750 0.048
0.241 0.750 0.152
0.759 0.250 0.848
0.019 0.750 0.942
0.029 0.750 0.277
0.453 0.516 0.156
0.453 0.984 0.156
0.547 0.016 0.844
0.547 0.484 0.844
0.971 0.250 0.723
0.981 0.250 0.058


11.
AcLaCeSm GGA-PBE relaxed; energy of formation = 0.211 eV/atom
1.0
0.000 4.202 4.202
4.202 0.000 4.202
4.202 4.202 0.000
Ac La Ce Sm
1 1 1 1
direct
0.000 0.000 0.000
0.500 0.500 0.500
0.250 0.250 0.250
0.750 0.750 0.750


12.
SrZnPdF6 GGA-PBE relaxed; formation energy without anion corrections = -2.44 eV per atom
1.0
5.584 0.000 0.000
-2.792 4.836 0.000
0.000 0.000 5.223
Sr Zn Pd F
1 1 1 6
direct
0.000 0.000 0.000
0.667 0.333 0.500
0.333 0.667 0.500
0.364 0.018 0.280
0.364 0.345 0.720
0.655 0.018 0.720
0.655 0.636 0.280
0.982 0.345 0.280
0.982 0.636 0.720


| no. | final energy (eV per cell) |
| --- | --- |
| 1 | -80.5 |
| 2 | -43.4 |
| 3 | -43.6 |
| 4 | -17.1 |
| 5 | -30.2 |
| 6 | -27.3 |
| 7 | -37.9 |
| 8 | -55.4 |
| 9 | -24.9 |
| 10 | -120.0 |
| 11 | -18.8 |
| 12 | -41.3 |